# YAlP2 PBE relaxed
data_YAlP2
_space_group_name_H-M_alt 'P 1'
_space_group_IT_number 1
_space_group_name_Hall 'P 1'
_cell_length_a 4.9486
_cell_length_b 4.9486
_cell_length_c 4.9486
_cell_angle_alpha 127.59
_cell_angle_beta 127.59
_cell_angle_gamma 77.29
loop_
_atom_site_label
_atom_site_type_symbol
_atom_site_fract_x
_atom_site_fract_y
_atom_site_fract_z
Y1 Y 0.2500 0.7500 0.5000
P1 P 0.0000 0.0000 0.0000
P2 P 0.5000 0.5000 0.0000
Al1 Al 0.7500 0.2500 0.5000
# DOS(E_F)   2.47 states/eV per cell
# E_tot   -5.640 eV per atom
# Size of the total moment   0.00 μB per formula unit

---

# PrHfCo2 PBE relaxed
data_PrHfCo2
_space_group_name_H-M_alt 'P 1'
_space_group_IT_number 1
_space_group_name_Hall 'P 1'
_cell_length_a 3.2365
_cell_length_b 3.2365
_cell_length_c 6.9325
_cell_angle_alpha 90.00
_cell_angle_beta 90.00
_cell_angle_gamma 90.00
loop_
_atom_site_label
_atom_site_type_symbol
_atom_site_fract_x
_atom_site_fract_y
_atom_site_fract_z
Pr1 Pr 0.5000 0.5000 0.5000
Co1 Co 0.0000 0.0000 0.7963
Co2 Co 0.0000 0.0000 0.2037
Hf1 Hf 0.5000 0.5000 0.0000
# DOS(E_F)   2.74 states/eV per cell
# E_tot   -7.377 eV per atom
# Size of the total moment   0.81 μB per formula unit

---

# TiAgC3 PBE relaxed
data_TiAgC3
_space_group_name_H-M_alt 'P 1'
_space_group_IT_number 1
_space_group_name_Hall 'P 1'
_cell_length_a 4.0799
_cell_length_b 4.0799
_cell_length_c 4.0799
_cell_angle_alpha 90.00
_cell_angle_beta 90.00
_cell_angle_gamma 90.00
loop_
_atom_site_label
_atom_site_type_symbol
_atom_site_fract_x
_atom_site_fract_y
_atom_site_fract_z
C1 C 0.0000 0.5000 0.0000
C2 C 0.0000 0.0000 0.5000
C3 C 0.5000 0.0000 0.0000
Ag1 Ag 0.5000 0.5000 0.5000
Ti1 Ti 0.0000 0.0000 0.0000
# DOS(E_F)   3.01 states/eV per cell
# E_tot   -5.697 eV per atom
# Polymorph energy (0 for the lowest one)   0 meV per atom
# Size of the total moment   0.00 μB per formula unit

---

# MnIn2Si PBE relaxed
data_MnIn2Si
_space_group_name_H-M_alt 'P 1'
_space_group_IT_number 1
_space_group_name_Hall 'P 1'
_cell_length_a 6.6278
_cell_length_b 5.1115
_cell_length_c 3.2085
_cell_angle_alpha 89.93
_cell_angle_beta 61.17
_cell_angle_gamma 119.80
loop_
_atom_site_label
_atom_site_type_symbol
_atom_site_fract_x
_atom_site_fract_y
_atom_site_fract_z
In1 In 0.0000 0.0000 0.0000
In2 In 0.5000 0.0000 0.5000
Mn1 Mn 0.0000 0.5000 0.5000
Si1 Si 0.5000 0.5000 0.0000
# DOS(E_F)   2.21 states/eV per cell
# E_tot   -4.646 eV per atom
# Polymorph energy (0 for the lowest one)   220 meV per atom
# Size of the total moment   3.76 μB per formula unit
# Energy relative to the elements, uncorrected   371.0 meV/atom

---

# La4Pm5Mg PBE relaxed
data_La4Pm5Mg
_space_group_name_H-M_alt 'P 1'
_space_group_IT_number 1
_space_group_name_Hall 'P 1'
_cell_length_a 6.0053
_cell_length_b 8.2784
_cell_length_c 8.2784
_cell_angle_alpha 82.44
_cell_angle_beta 68.73
_cell_angle_gamma 68.73
loop_
_atom_site_label
_atom_site_type_symbol
_atom_site_fract_x
_atom_site_fract_y
_atom_site_fract_z
La1 La 0.4662 0.3146 0.6855
La2 La 0.7808 0.6855 0.6854
La3 La 0.1517 0.3145 0.3146
La4 La 0.4663 0.6854 0.3145
Pm1 Pm 0.7664 0.3706 0.9999
Pm2 Pm 0.1370 0.9999 0.6294
Pm3 Pm 0.7662 0.0001 0.3706
Pm4 Pm 0.1369 0.6294 0.0001
Pm5 Pm 0.6586 0.0000 0.0000
Mg1 Mg 0.1802 0.0000 0.0000
# DOS(E_F)   13.39 states/eV per cell
# E_tot   -4.360 eV per atom
# Polymorph energy (0 for the lowest one)   71 meV per atom
# Size of the total moment   0.00 μB per formula unit

---

# SrBe2Os PBE relaxed
data_SrBe2Os
_space_group_name_H-M_alt 'P 1'
_space_group_IT_number 1
_space_group_name_Hall 'P 1'
_cell_length_a 4.2374
_cell_length_b 4.2374
_cell_length_c 5.5096
_cell_angle_alpha 73.52
_cell_angle_beta 73.52
_cell_angle_gamma 49.20
loop_
_atom_site_label
_atom_site_type_symbol
_atom_site_fract_x
_atom_site_fract_y
_atom_site_fract_z
Sr1 Sr 0.2500 0.2500 0.2500
Os1 Os 0.7500 0.7500 0.7500
Be1 Be 0.0485 0.0485 0.8067
Be2 Be 0.4515 0.4515 0.6933
# DOS(E_F)   1.74 states/eV per cell
# E_tot   -5.008 eV per atom
# Polymorph energy (0 for the lowest one)   40 meV per atom
# Size of the total moment   0.00 μB per formula unit

---

# SrAl2W PBE relaxed
data_SrAl2W
_space_group_name_H-M_alt 'P 1'
_space_group_IT_number 1
_space_group_name_Hall 'P 1'
_cell_length_a 5.0309
_cell_length_b 5.0309
_cell_length_c 9.5534
_cell_angle_alpha 74.73
_cell_angle_beta 74.73
_cell_angle_gamma 90.00
loop_
_atom_site_label
_atom_site_type_symbol
_atom_site_fract_x
_atom_site_fract_y
_atom_site_fract_z
Sr1 Sr 0.5000 0.5000 0.0000
Sr2 Sr 0.2500 0.7500 0.5000
Al1 Al 0.8119 0.1250 0.2500
Al2 Al 0.9381 0.6250 0.2500
Al3 Al 0.3750 0.1881 0.7500
Al4 Al 0.8750 0.0619 0.7500
W1 W 0.0000 0.0000 0.0000
W2 W 0.7500 0.2500 0.5000
# DOS(E_F)   6.27 states/eV per cell
# E_tot   -4.771 eV per atom
# Polymorph energy (0 for the lowest one)   610 meV per atom
# Size of the total moment   0.00 μB per formula unit

---

# HoSnPt PBE relaxed
data_HoSnPt
_space_group_name_H-M_alt 'P 1'
_space_group_IT_number 1
_space_group_name_Hall 'P 1'
_cell_length_a 4.4953
_cell_length_b 4.4953
_cell_length_c 7.6025
_cell_angle_alpha 107.20
_cell_angle_beta 107.20
_cell_angle_gamma 90.00
loop_
_atom_site_label
_atom_site_type_symbol
_atom_site_fract_x
_atom_site_fract_y
_atom_site_fract_z
Ho1 Ho 0.1443 0.1443 0.2886
Ho2 Ho 0.8557 0.8557 0.7114
Pt1 Pt 0.0000 0.5000 0.0000
Pt2 Pt 0.5000 0.0000 0.0000
Sn1 Sn 0.6250 0.6250 0.2501
Sn2 Sn 0.3750 0.3750 0.7499
# DOS(E_F)   2.53 states/eV per cell
# E_tot   -5.734 eV per atom
# Size of the total moment   0.00 μB per formula unit

---

# Ce4TlCo PBE relaxed
data_Ce4TlCo
_space_group_name_H-M_alt 'P 1'
_space_group_IT_number 1
_space_group_name_Hall 'P 1'
_cell_length_a 5.9042
_cell_length_b 7.7480
_cell_length_c 8.1120
_cell_angle_alpha 110.01
_cell_angle_beta 100.74
_cell_angle_gamma 111.83
loop_
_atom_site_label
_atom_site_type_symbol
_atom_site_fract_x
_atom_site_fract_y
_atom_site_fract_z
Ce1 Ce 0.0381 0.1783 0.8390
Ce2 Ce 0.8069 0.7473 0.6179
Ce3 Ce 0.3009 0.6607 0.8390
Ce4 Ce 0.3110 0.8706 0.6179
Ce5 Ce 0.6890 0.1294 0.3821
Ce6 Ce 0.6991 0.3393 0.1610
Ce7 Ce 0.1931 0.2527 0.3821
Ce8 Ce 0.9619 0.8217 0.1610
Tl1 Tl 0.3627 0.6127 0.2254
Tl2 Tl 0.6373 0.3873 0.7746
Co1 Co 0.2633 0.0133 0.0266
Co2 Co 0.7367 0.9867 0.9734
# DOS(E_F)   28.29 states/eV per cell
# E_tot   -5.664 eV per atom
# Polymorph energy (0 for the lowest one)   20 meV per atom
# Size of the total moment   0.19 μB per formula unit

---

# Rb2TlH6Os PBE relaxed
data_Rb2TlH6Os
_space_group_name_H-M_alt 'P 1'
_space_group_IT_number 1
_space_group_name_Hall 'P 1'
_cell_length_a 5.5164
_cell_length_b 6.1492
_cell_length_c 6.1492
_cell_angle_alpha 120.00
_cell_angle_beta 90.00
_cell_angle_gamma 90.00
loop_
_atom_site_label
_atom_site_type_symbol
_atom_site_fract_x
_atom_site_fract_y
_atom_site_fract_z
Rb1 Rb 0.2069 0.3333 0.6667
Rb2 Rb 0.7931 0.6667 0.3333
Tl1 Tl 0.5000 0.0000 0.0000
H1 H 0.8644 0.1476 0.2953
H2 H 0.8644 0.1476 0.8524
H3 H 0.8644 0.7047 0.8524
H4 H 0.1356 0.8524 0.1476
H5 H 0.1356 0.2953 0.1476
H6 H 0.1356 0.8524 0.7047
Os1 Os 0.0000 0.0000 0.0000
# DOS(E_F)   2.51 states/eV per cell
# E_tot   -3.601 eV per atom
# Size of the total moment   0.00 μB per formula unit

---

# DyEr3Ru3 PBE relaxed
data_DyEr3Ru3
_space_group_name_H-M_alt 'P 1'
_space_group_IT_number 1
_space_group_name_Hall 'P 1'
_cell_length_a 6.7769
_cell_length_b 6.7769
_cell_length_c 6.6985
_cell_angle_alpha 90.04
_cell_angle_beta 90.04
_cell_angle_gamma 90.44
loop_
_atom_site_label
_atom_site_type_symbol
_atom_site_fract_x
_atom_site_fract_y
_atom_site_fract_z
Dy1 Dy 0.7499 0.7499 0.9995
Dy2 Dy 0.2501 0.2501 0.0005
Er1 Er 0.7549 0.7549 0.4995
Er2 Er 0.2455 0.7545 0.5000
Er3 Er 0.7545 0.2455 0.5000
Er4 Er 0.2417 0.7583 0.0000
Er5 Er 0.7583 0.2417 0.0000
Er6 Er 0.2451 0.2451 0.5005
Ru1 Ru 0.0000 0.0000 0.2508
Ru2 Ru 0.0000 0.5000 0.7492
Ru3 Ru 0.5000 0.0000 0.7492
Ru4 Ru 0.0000 0.5000 0.2508
Ru5 Ru 0.5000 0.0000 0.2508
Ru6 Ru 0.0000 0.0000 0.7492
# DOS(E_F)   7.69 states/eV per cell
# E_tot   -6.969 eV per atom
# Polymorph energy (0 for the lowest one)   23 meV per atom
# Size of the total moment   0.00 μB per formula unit

---

# YSbPt2 PBE relaxed
data_YSbPt2
_space_group_name_H-M_alt 'P 1'
_space_group_IT_number 1
_space_group_name_Hall 'P 1'
_cell_length_a 5.5241
_cell_length_b 5.5241
_cell_length_c 4.2324
_cell_angle_alpha 90.01
_cell_angle_beta 90.01
_cell_angle_gamma 41.28
loop_
_atom_site_label
_atom_site_type_symbol
_atom_site_fract_x
_atom_site_fract_y
_atom_site_fract_z
Pt1 Pt 0.9627 0.9627 0.1250
Pt2 Pt 0.7812 0.7812 0.6251
Sb1 Sb 0.5182 0.5182 0.6247
Y1 Y 0.2379 0.2379 0.1252
# DOS(E_F)   2.45 states/eV per cell
# E_tot   -6.505 eV per atom
# Size of the total moment   0.00 μB per formula unit
# Energy relative to the elements, uncorrected   -837.6 meV/atom